A plane-wave DFT calculation with meta-GGA SCAN was carried out for a crystal of Nd2Zn5Sn relaxed with PBEsol.

Structure (POSCAR):
```
Nd2Zn5Sn
1.0
2.1915 -8.1413 0.0000
2.1915 8.1413 0.0000
0.0000 0.0000 8.9300
Nd Zn Sn
4 10 2
direct
0.0000 0.0000 0.0000
0.0000 0.0000 0.5000
0.2053 0.7947 0.7500
0.7947 0.2053 0.2500
0.1855 0.8145 0.1091
0.1855 0.8145 0.3909
0.3430 0.6570 0.0165
0.3430 0.6570 0.4835
0.3943 0.6057 0.7500
0.6057 0.3943 0.2500
0.6570 0.3430 0.5165
0.6570 0.3430 0.9835
0.8145 0.1855 0.6091
0.8145 0.1855 0.8909
0.4449 0.5551 0.2500
0.5551 0.4449 0.7500
```

Summary:
The space group is Cmcm. The total energy comes out at -1.792 Ry per atom.

=====

A plane-wave DFT calculation with meta-GGA SCAN was carried out for a crystal of NdZnSn relaxed with PBEsol.

Structure (POSCAR):
```
NdZnSn
1.0
4.4745 0.0000 0.0000
-2.2373 3.8750 0.0000
0.0000 0.0000 8.2021
Nd Zn Sn
2 2 2
direct
0.0000 0.0000 0.0000
0.0000 0.0000 0.5000
0.3333 0.6667 0.2500
0.6667 0.3333 0.7500
0.3333 0.6667 0.7500
0.6667 0.3333 0.2500
```

Summary:
The space group is P6_3/mmc. The total energy comes out at -2.332 Ry per atom.